(1)
# Pr2DyGa, relaxed, DFT GGA-PBE
data_Pr2DyGa
_chemical_formula_sum 'Pr2 Dy1 Ga1'
_symmetry_space_group_name_H-M 'P 1'
_symmetry_Int_Tables_number 1
_cell_length_a 3.637
_cell_length_b 3.637
_cell_length_c 9.100
_cell_angle_alpha 90.00
_cell_angle_beta 90.00
_cell_angle_gamma 90.00
loop_
_symmetry_equiv_pos_as_xyz
'x,y,z'
loop_
_atom_site_label
_atom_site_type_symbol
_atom_site_fract_x
_atom_site_fract_y
_atom_site_fract_z
Pr1 Pr 0.000 0.000 0.212
Pr2 Pr 0.000 0.000 0.788
Dy1 Dy 0.500 0.500 0.500
Ga1 Ga 0.500 0.500 0.000
# Relative energy among the computed polymorphs, eV/atom: 0.030
# Spin magnetization, μB per formula unit: 0.0

(2)
# PrDyGa4, relaxed, DFT GGA-PBE
data_PrDyGa4
_chemical_formula_sum 'Pr1 Dy1 Ga4'
_symmetry_space_group_name_H-M 'P 1'
_symmetry_Int_Tables_number 1
_cell_length_a 5.592
_cell_length_b 5.592
_cell_length_c 5.592
_cell_angle_alpha 60.00
_cell_angle_beta 60.00
_cell_angle_gamma 60.00
loop_
_symmetry_equiv_pos_as_xyz
'x,y,z'
loop_
_atom_site_label
_atom_site_type_symbol
_atom_site_fract_x
_atom_site_fract_y
_atom_site_fract_z
Pr1 Pr 0.000 0.000 0.000
Dy1 Dy 0.250 0.250 0.250
Ga1 Ga 0.125 0.625 0.625
Ga2 Ga 0.625 0.125 0.625
Ga3 Ga 0.625 0.625 0.125
Ga4 Ga 0.625 0.625 0.625
# Relative energy among the computed polymorphs, eV/atom: 0.122
# Spin magnetization, μB per formula unit: 0.0

(3)
# Pr2DyGa2, relaxed, DFT GGA-PBE
data_Pr2DyGa2
_chemical_formula_sum 'Pr4 Dy2 Ga4'
_symmetry_space_group_name_H-M 'P 1'
_symmetry_Int_Tables_number 1
_cell_length_a 6.501
_cell_length_b 6.501
_cell_length_c 11.144
_cell_angle_alpha 117.91
_cell_angle_beta 117.91
_cell_angle_gamma 42.73
loop_
_symmetry_equiv_pos_as_xyz
'x,y,z'
loop_
_atom_site_label
_atom_site_type_symbol
_atom_site_fract_x
_atom_site_fract_y
_atom_site_fract_z
Pr1 Pr 0.023 0.023 0.185
Pr2 Pr 0.190 0.190 0.602
Pr3 Pr 0.810 0.810 0.398
Pr4 Pr 0.977 0.977 0.815
Dy1 Dy 0.295 0.295 0.143
Dy2 Dy 0.705 0.705 0.857
Ga1 Ga 0.375 0.375 0.926
Ga2 Ga 0.459 0.459 0.589
Ga3 Ga 0.541 0.541 0.411
Ga4 Ga 0.625 0.625 0.074
# Relative energy among the computed polymorphs, eV/atom: 0.014
# Spin magnetization, μB per formula unit: 0.0

(4)
# Pr3DyGa4, relaxed, DFT GGA-PBE
data_Pr3DyGa4
_chemical_formula_sum 'Pr3 Dy1 Ga4'
_symmetry_space_group_name_H-M 'P 1'
_symmetry_Int_Tables_number 1
_cell_length_a 9.376
_cell_length_b 9.376
_cell_length_c 9.376
_cell_angle_alpha 156.62
_cell_angle_beta 136.97
_cell_angle_gamma 49.54
loop_
_symmetry_equiv_pos_as_xyz
'x,y,z'
loop_
_atom_site_label
_atom_site_type_symbol
_atom_site_fract_x
_atom_site_fract_y
_atom_site_fract_z
Pr1 Pr 0.000 0.000 0.000
Pr2 Pr 0.298 0.798 0.500
Pr3 Pr 0.702 0.202 0.500
Dy1 Dy 0.500 0.500 0.000
Ga1 Ga 0.066 0.373 0.693
Ga2 Ga 0.320 0.627 0.693
Ga3 Ga 0.680 0.373 0.307
Ga4 Ga 0.934 0.627 0.307
# Relative energy among the computed polymorphs, eV/atom: 0.134
# Spin magnetization, μB per formula unit: 0.0

Repeat the fourth record exactly.
# Pr3DyGa4, relaxed, DFT GGA-PBE
data_Pr3DyGa4
_chemical_formula_sum 'Pr3 Dy1 Ga4'
_symmetry_space_group_name_H-M 'P 1'
_symmetry_Int_Tables_number 1
_cell_length_a 9.376
_cell_length_b 9.376
_cell_length_c 9.376
_cell_angle_alpha 156.62
_cell_angle_beta 136.97
_cell_angle_gamma 49.54
loop_
_symmetry_equiv_pos_as_xyz
'x,y,z'
loop_
_atom_site_label
_atom_site_type_symbol
_atom_site_fract_x
_atom_site_fract_y
_atom_site_fract_z
Pr1 Pr 0.000 0.000 0.000
Pr2 Pr 0.298 0.798 0.500
Pr3 Pr 0.702 0.202 0.500
Dy1 Dy 0.500 0.500 0.000
Ga1 Ga 0.066 0.373 0.693
Ga2 Ga 0.320 0.627 0.693
Ga3 Ga 0.680 0.373 0.307
Ga4 Ga 0.934 0.627 0.307
# Relative energy among the computed polymorphs, eV/atom: 0.134
# Spin magnetization, μB per formula unit: 0.0